No. 1
DFT (PBE-GGA) results for crystalline CsSr2Tl6 at its relaxed geometry.

Structure (POSCAR):
```
CsSr2Tl6
1.0
-2.0707 4.8162 8.1537
2.0707 -4.8162 8.1537
2.0707 4.8162 -8.1537
Cs Sr Tl
1 2 6
Direct
0.0000 0.0000 0.0000
0.3580 0.8580 0.5000
0.6420 0.1420 0.5000
0.0050 0.3210 0.6841
0.3317 0.5000 0.8317
0.3631 0.6790 0.6841
0.6369 0.3210 0.3159
0.6683 0.5000 0.1683
0.9950 0.6790 0.3159
```

N(E_F) in states/eV per cell: 3.56
Formation enthalpy at 0 K in kJ/mol of formula units: -162
E in eV per atom: -2.232
Size of the total moment in μB/atom: 0.000

No. 2
DFT (PBE-GGA) results for crystalline CeW2N4 at its relaxed geometry.

Structure (POSCAR):
```
CeW2N4
1.0
-3.4884 3.4884 3.5277
3.4884 -3.4884 3.5277
3.4884 3.4884 -3.5277
Ce W N
2 4 8
Direct
0.0000 0.0000 0.0000
0.7500 0.2500 0.5000
0.3402 0.1250 0.7152
0.3750 0.5902 0.7152
0.4098 0.6250 0.2848
0.8750 0.6598 0.2848
0.0816 0.4112 0.3141
0.0970 0.7675 0.6859
0.1612 0.3470 0.8296
0.2325 0.9030 0.3141
0.5175 0.3316 0.1704
0.5888 0.9184 0.6859
0.6530 0.8388 0.1704
0.6684 0.4825 0.8296
```

N(E_F) in states/eV per cell: 4.73
E_form (uncorrected) in eV per atom: -0.67
E in eV per atom: -9.975
Size of the total moment in μB/atom: 0.000

No. 3
DFT (PBE-GGA) results for crystalline Ti2IF at its relaxed geometry.

Structure (POSCAR):
```
Ti2IF
1.0
-2.3238 2.3238 7.2720
2.3238 -2.3238 7.2720
2.3238 2.3238 -7.2720
Ti I F
4 2 2
Direct
0.3750 0.2356 0.3606
0.7644 0.1250 0.1394
0.8750 0.0144 0.6394
0.9856 0.6250 0.8606
0.2500 0.7500 0.5000
0.5000 0.5000 0.0000
0.0000 0.0000 0.0000
0.7500 0.2500 0.5000
```

N(E_F) in states/eV per cell: 12.89
E_form (uncorrected) in eV per atom: -0.54
E in eV per atom: -5.348
Size of the total moment in μB/atom: 0.143

No. 4
DFT (PBE-GGA) results for crystalline ScIBr3 at its relaxed geometry.

Structure (POSCAR):
```
ScIBr3
1.0
0.0000 7.1252 7.1252
7.1252 0.0000 7.1252
7.1252 7.1252 0.0000
Sc I Br
4 4 12
Direct
0.0000 0.0000 0.0000
0.0000 0.0000 0.5000
0.0000 0.5000 0.0000
0.5000 0.0000 0.0000
0.0000 0.5000 0.5000
0.5000 0.0000 0.5000
0.5000 0.5000 0.0000
0.5000 0.5000 0.5000
0.0639 0.0639 0.6861
0.0639 0.6861 0.0639
0.0639 0.6861 0.6861
0.3139 0.3139 0.9361
0.3139 0.9361 0.3139
0.3139 0.9361 0.9361
0.6861 0.0639 0.0639
0.6861 0.0639 0.6861
0.6861 0.6861 0.0639
0.9361 0.3139 0.3139
0.9361 0.3139 0.9361
0.9361 0.9361 0.3139
```

N(E_F) in states/eV per cell: 22.82
E_form (uncorrected) in eV per atom: -1.03
E in eV per atom: -3.615
Size of the total moment in μB/atom: 0.200

No. 5
DFT (PBE-GGA) results for crystalline PrErTh2 at its relaxed geometry.

Structure (POSCAR):
```
PrErTh2
1.0
1.7903 1.0336 11.7686
-1.7903 1.0336 11.7686
0.0000 -2.0672 11.7686
Pr Er Th
1 1 2
Direct
0.0000 0.0000 0.0000
0.8302 0.8302 0.8302
0.2460 0.2460 0.2460
0.4168 0.4168 0.4168
```

N(E_F) in states/eV per cell: 5.57
Formation enthalpy at 0 K in kJ/mol of formula units: 21
E in eV per atom: -5.992
Size of the total moment in μB/atom: 0.000

No. 6
DFT (PBE-GGA) results for crystalline Li2MgTiPd4 at its relaxed geometry.

Structure (POSCAR):
```
Li2MgTiPd4
1.0
2.1922 1.2657 7.1026
-2.1922 1.2657 7.1026
0.0000 -2.5314 7.1026
Li Mg Ti Pd
2 1 1 4
Direct
0.2489 0.2489 0.2489
0.7511 0.7511 0.7511
0.5000 0.5000 0.5000
0.0000 0.0000 0.0000
0.1221 0.1221 0.1221
0.3724 0.3724 0.3724
0.6276 0.6276 0.6276
0.8779 0.8779 0.8779
```

N(E_F) in states/eV per cell: 3.96
Formation enthalpy at 0 K in kJ/mol of formula units: -448
E in eV per atom: -4.842
Size of the total moment in μB/atom: 0.000

No. 7
DFT (PBE-GGA) results for crystalline NdLuZn4 at its relaxed geometry.

Structure (POSCAR):
```
NdLuZn4
1.0
0.0000 3.8803 3.8803
3.8803 0.0000 3.8803
3.8803 3.8803 0.0000
Nd Lu Zn
1 1 4
Direct
0.0000 0.0000 0.0000
0.7500 0.7500 0.7500
0.3753 0.3753 0.3753
0.3753 0.3753 0.8742
0.3753 0.8742 0.3753
0.8742 0.3753 0.3753
```

N(E_F) in states/eV per cell: 1.65
Formation enthalpy at 0 K in kJ/mol of formula units: -180
E in eV per atom: -2.708
Size of the total moment in μB/atom: 0.000

No. 8
DFT (PBE-GGA) results for crystalline YVPt2C at its relaxed geometry.

Structure (POSCAR):
```
YVPt2C
1.0
5.1061 0.0000 0.0000
0.0000 5.1061 0.0000
0.0000 0.0000 4.3351
Y V Pt C
1 1 2 1
Direct
0.0000 0.0000 0.0000
0.5000 0.5000 0.5000
0.0000 0.5000 0.0000
0.5000 0.0000 0.0000
0.0000 0.0000 0.5000
```

N(E_F) in states/eV per cell: 9.16
Formation enthalpy at 0 K in kJ/mol of formula units: 879
E in eV per atom: -5.555
Size of the total moment in μB/atom: 0.150

No. 9
DFT (PBE-GGA) results for crystalline BeAlSi2 at its relaxed geometry.

Structure (POSCAR):
```
BeAlSi2
1.0
4.6898 0.0000 0.0000
0.0000 4.6898 0.0000
0.0000 0.0000 2.5503
Be Al Si
1 1 2
Direct
0.0000 0.0000 0.0000
0.5000 0.5000 0.0000
0.0000 0.5000 0.5000
0.5000 0.0000 0.5000
```

N(E_F) in states/eV per cell: 1.58
E_form (uncorrected) in eV per atom: 0.41
E in eV per atom: -4.169
Size of the total moment in μB/atom: 0.000

No. 10
DFT (PBE-GGA) results for crystalline GeH at its relaxed geometry.

Structure (POSCAR):
```
GeH
1.0
-3.3307 3.3307 3.3307
3.3307 -3.3307 3.3307
3.3307 3.3307 -3.3307
Ge H
4 4
Direct
0.0000 0.0000 0.3102
0.0000 0.3102 0.0000
0.3102 0.0000 0.0000
0.6898 0.6898 0.6898
0.0000 0.0000 0.7535
0.0000 0.7535 0.0000
0.2465 0.2465 0.2465
0.7535 0.0000 0.0000
```

N(E_F) in states/eV per cell: 0.01
E in eV per atom: -3.410
Size of the total moment in μB/atom: 0.000

No. 11
DFT (PBE-GGA) results for crystalline Ba4Tl3Sn at its relaxed geometry.

Structure (POSCAR):
```
Ba4Tl3Sn
1.0
9.1593 -3.0248 0.0000
9.1593 3.0248 0.0000
-1.9863 0.0000 5.7144
Ba Tl Sn
4 3 1
Direct
0.1230 0.1230 0.1229
0.3770 0.3770 0.3772
0.6230 0.6230 0.6228
0.8770 0.8770 0.8771
0.0000 0.0000 0.5000
0.2483 0.2483 0.7482
0.7517 0.7517 0.2517
0.5000 0.5000 0.0000
```

N(E_F) in states/eV per cell: 7.57
Formation enthalpy at 0 K in kJ/mol of formula units: -344
E in eV per atom: -2.795
Size of the total moment in μB/atom: 0.000

No. 12
DFT (PBE-GGA) results for crystalline CaReOs at its relaxed geometry.

Structure (POSCAR):
```
CaReOs
1.0
4.4381 0.0000 0.0000
-2.2191 3.8435 0.0000
0.0000 0.0000 3.2213
Ca Re Os
1 1 1
Direct
0.0000 0.0000 0.0000
0.3333 0.6667 0.5661
0.6667 0.3333 0.4377
```

N(E_F) in states/eV per cell: 0.78
Formation enthalpy at 0 K in kJ/mol of formula units: 192
E in eV per atom: -7.897
Size of the total moment in μB/atom: 0.000

No. 13
DFT (PBE-GGA) results for crystalline NaSrGa3 at its relaxed geometry.

Structure (POSCAR):
```
NaSrGa3
1.0
2.0930 -13.6670 0.0000
2.0930 13.6670 0.0000
0.0000 0.0000 4.4885
Na Sr Ga
2 2 6
Direct
0.2124 0.7876 0.7500
0.7876 0.2124 0.2500
0.0736 0.9264 0.2500
0.9264 0.0736 0.7500
0.3281 0.6719 0.7500
0.3775 0.6225 0.2500
0.4756 0.5244 0.2500
0.5244 0.4756 0.7500
0.6225 0.3775 0.7500
0.6719 0.3281 0.2500
```

N(E_F) in states/eV per cell: 4.45
Formation enthalpy at 0 K in kJ/mol of formula units: -135
E in eV per atom: -2.695
Size of the total moment in μB/atom: 0.000

No. 14
DFT (PBE-GGA) results for crystalline Ba2SnAsP at its relaxed geometry.

Structure (POSCAR):
```
Ba2SnAsP
1.0
6.5690 0.0000 0.0000
0.0000 6.5690 0.0000
0.0000 0.0000 4.9684
Ba Sn As P
2 1 1 1
Direct
0.0000 0.5000 0.0000
0.5000 0.0000 0.0000
0.0000 0.0000 0.0000
0.0000 0.0000 0.5000
0.5000 0.5000 0.5000
```

N(E_F) in states/eV per cell: 4.29
Formation enthalpy at 0 K in kJ/mol of formula units: 46
E in eV per atom: -3.487
Size of the total moment in μB/atom: 0.148

No. 15
DFT (PBE-GGA) results for crystalline KNa at its relaxed geometry.

Structure (POSCAR):
```
KNa
1.0
10.8668 0.0000 0.0000
0.0000 10.8668 0.0000
0.0000 0.0000 10.8668
K Na
6 6
Direct
0.0000 0.2500 0.5000
0.0000 0.7500 0.5000
0.2500 0.5000 0.0000
0.5000 0.0000 0.2500
0.5000 0.0000 0.7500
0.7500 0.5000 0.0000
0.0000 0.5000 0.2500
0.0000 0.5000 0.7500
0.2500 0.0000 0.5000
0.5000 0.2500 0.0000
0.5000 0.7500 0.0000
0.7500 0.0000 0.5000
```

N(E_F) in states/eV per cell: 3.75
Formation enthalpy at 0 K in kJ/mol of formula units: 61
E in eV per atom: -0.893
Size of the total moment in μB/atom: 0.000

No. 16
DFT (PBE-GGA) results for crystalline Ac2ZnReN4 at its relaxed geometry.

Structure (POSCAR):
```
Ac2ZnReN4
1.0
0.0000 5.8257 9.4199
2.4568 0.0000 9.4199
2.4568 5.8257 0.0000
Ac Zn Re N
4 2 2 8
Direct
0.0498 0.0498 0.7002
0.2998 0.2998 0.9502
0.7002 0.7002 0.0498
0.9502 0.9502 0.2998
0.1250 0.1250 0.1250
0.8750 0.8750 0.8750
0.3750 0.3750 0.3750
0.6250 0.6250 0.6250
0.0230 0.3111 0.4598
0.2938 0.5402 0.6889
0.3111 0.0230 0.7062
0.4598 0.7062 0.0230
0.5402 0.2938 0.9770
0.6889 0.9770 0.2938
0.7062 0.4598 0.3111
0.9770 0.6889 0.5402
```

N(E_F) in states/eV per cell: 9.11
E_form (uncorrected) in eV per atom: -0.22
E in eV per atom: -7.124
Size of the total moment in μB/atom: 0.000

No. 17
DFT (PBE-GGA) results for crystalline TaTcBi3 at its relaxed geometry.

Structure (POSCAR):
```
TaTcBi3
1.0
5.4762 0.0000 0.0000
0.0000 5.4762 0.0000
0.0000 0.0000 5.4762
Ta Tc Bi
1 1 3
Direct
0.0000 0.0000 0.0000
0.5000 0.5000 0.5000
0.0000 0.0000 0.5000
0.0000 0.5000 0.0000
0.5000 0.0000 0.0000
```

N(E_F) in states/eV per cell: 4.67
Formation enthalpy at 0 K in kJ/mol of formula units: 649
E in eV per atom: -5.428
Size of the total moment in μB/atom: 0.751

No. 18
DFT (PBE-GGA) results for crystalline RbVAs2Br at its relaxed geometry.

Structure (POSCAR):
```
RbVAs2Br
1.0
5.7052 0.0000 0.0000
0.0000 5.7052 0.0000
0.0000 0.0000 5.9317
Rb V As Br
1 1 2 1
Direct
0.0000 0.0000 0.0000
0.5000 0.5000 0.5000
0.0000 0.5000 0.0000
0.5000 0.0000 0.0000
0.0000 0.0000 0.5000
```

N(E_F) in states/eV per cell: 8.85
E_form (uncorrected) in eV per atom: 1.51
E in eV per atom: -2.699
Size of the total moment in μB/atom: 0.308

No. 19
DFT (PBE-GGA) results for crystalline La2NdCu9 at its relaxed geometry.

Structure (POSCAR):
```
La2NdCu9
1.0
2.6362 1.5220 8.5160
-2.6362 1.5220 8.5160
0.0000 -3.0440 8.5160
La Nd Cu
2 1 9
Direct
0.1439 0.1439 0.1439
0.8561 0.8561 0.8561
0.0000 0.0000 0.0000
0.0870 0.5755 0.5755
0.3310 0.3310 0.3310
0.4245 0.4245 0.9130
0.4245 0.9130 0.4245
0.5000 0.5000 0.5000
0.5755 0.0870 0.5755
0.5755 0.5755 0.0870
0.6690 0.6690 0.6690
0.9130 0.4245 0.4245
```

N(E_F) in states/eV per cell: 7.75
Formation enthalpy at 0 K in kJ/mol of formula units: -155
E in eV per atom: -4.425
Size of the total moment in μB/atom: 0.000

No. 20
DFT (PBE-GGA) results for crystalline Pm7Sm12Dy at its relaxed geometry.

Structure (POSCAR):
```
Pm7Sm12Dy
1.0
6.0941 3.5184 5.3967
-6.0941 3.5184 5.3967
0.0000 -7.0369 5.3967
Pm Sm Dy
7 12 1
Direct
0.0000 0.0000 0.0000
0.1037 0.3487 0.4232
0.3488 0.4232 0.1037
0.4232 0.1037 0.3488
0.5768 0.8963 0.6512
0.6512 0.5768 0.8963
0.8963 0.6512 0.5768
0.0064 0.3654 0.8839
0.1161 0.9936 0.6346
0.2261 0.7524 0.3524
0.2476 0.6476 0.7739
0.3524 0.2261 0.7524
0.3654 0.8839 0.0064
0.6346 0.1161 0.9936
0.6476 0.7739 0.2476
0.7524 0.3524 0.2261
0.7739 0.2476 0.6476
0.8839 0.0064 0.3654
0.9936 0.6346 0.1161
0.5000 0.5000 0.5000
```

N(E_F) in states/eV per cell: 39.03
Formation enthalpy at 0 K in kJ/mol of formula units: 437
E in eV per atom: -4.498
Size of the total moment in μB/atom: 0.000

No. 21
DFT (PBE-GGA) results for crystalline Pm4HgRhAu2 at its relaxed geometry.

Structure (POSCAR):
```
Pm4HgRhAu2
1.0
2.6136 1.5089 8.4127
-2.6136 1.5089 8.4127
0.0000 -3.0179 8.4127
Pm Hg Rh Au
4 1 1 2
Direct
0.1166 0.1166 0.1166
0.3684 0.3684 0.3684
0.6316 0.6316 0.6316
0.8834 0.8834 0.8834
0.5000 0.5000 0.5000
0.0000 0.0000 0.0000
0.2415 0.2415 0.2415
0.7585 0.7585 0.7585
```

N(E_F) in states/eV per cell: 5.26
Formation enthalpy at 0 K in kJ/mol of formula units: -532
E in eV per atom: -4.841
Size of the total moment in μB/atom: 0.000

No. 22
DFT (PBE-GGA) results for crystalline SrZn2Cr at its relaxed geometry.

Structure (POSCAR):
```
SrZn2Cr
1.0
3.3513 -3.3651 0.0000
3.3513 3.3651 0.0000
0.0000 0.0000 4.0552
Sr Zn Cr
1 2 1
Direct
0.0000 0.0000 0.0000
0.0000 0.5000 0.5000
0.5000 0.0000 0.5000
0.5000 0.5000 0.0000
```

N(E_F) in states/eV per cell: 2.92
Formation enthalpy at 0 K in kJ/mol of formula units: 147
E in eV per atom: -3.082
Size of the total moment in μB/atom: 1.020

No. 23
DFT (PBE-GGA) results for crystalline KMg3 at its relaxed geometry.

Structure (POSCAR):
```
KMg3
1.0
7.3590 0.0000 0.0000
0.0000 7.3590 0.0000
0.0000 0.0000 7.3590
K Mg
1 3
Direct
0.0000 0.0000 0.0000
0.0000 0.0000 0.5000
0.0000 0.5000 0.0000
0.5000 0.0000 0.0000
```

N(E_F) in states/eV per cell: 2.94
Formation enthalpy at 0 K in kJ/mol of formula units: 387
E in eV per atom: -0.468
Size of the total moment in μB/atom: 0.000